Computed, not measured: a geometry-optimized Fe2Te3As structure at the PBE-GGA level of DFT.

a = 5.2347 Å, b = 3.6859 Å, c = 6.1693 Å
α = 90.00°, β = 90.51°, γ = 90.00°
Closest atoms and distances in Å follow each position.
Fractional positions:
Fe 0.0000 0.0000 0.0000  1 As 2.39, 5 Te 2.52-2.56
Fe 0.4820 0.5000 0.4863  2 As 2.47, 4 Te 2.49-2.59
Te 0.2761 0.5000 0.8502  3 Fe 2.50-2.52
Te 0.7166 0.5000 0.1364  3 Fe 2.49-2.52
Te 0.7918 0.0000 0.6227  3 Fe 2.56-2.59, 1 As 2.81
As 0.2139 0.0000 0.3446  3 Fe 2.39-2.47

Calculated values
As for the density: 7.94 g cm⁻³. The final energy is -5.26 eV per atom.